Here is a relaxed structure of HfB4Rh from Alexandria via LeMat-Bulk. Energies are from PBE-GGA.

Cell lengths 3.4146, 5.8755, 11.4082 Å; angles 90.00, 90.00, 90.00 degrees
With the nearest neighbours (Å) after each atom.
Fractional coordinates of all 24 atoms:
Hf1 0.0000 0.6276 0.3520  14 B 2.54-2.74
Hf2 0.0000 0.3724 0.6480  14 B 2.54-2.74
Hf3 0.0000 0.1276 0.1480  14 B 2.54-2.74
Hf4 0.0000 0.8724 0.8520  14 B 2.54-2.74
B1 0.5000 0.8030 0.1871  2 B 1.68-1.81
B2 0.5000 0.1970 0.8129  2 B 1.68-1.81
B3 0.5000 0.3030 0.3129  2 B 1.68-1.81
B4 0.5000 0.6970 0.6871  2 B 1.68-1.81
B5 0.5000 0.8710 0.0325  3 B 1.69-1.81
B6 0.5000 0.1290 0.9675  3 B 1.69-1.81
B7 0.5000 0.3710 0.4675  3 B 1.69-1.81
B8 0.5000 0.6290 0.5325  3 B 1.69-1.81
B9 0.5000 0.8814 0.4518  3 B 1.74-1.78
B10 0.5000 0.1186 0.5482  3 B 1.74-1.78
B11 0.5000 0.3814 0.0482  3 B 1.74-1.78
B12 0.5000 0.6186 0.9518  3 B 1.74-1.78
B13 0.5000 0.9700 0.3062  2 B 1.68-1.74
B14 0.5000 0.0300 0.6938  2 B 1.68-1.74
B15 0.5000 0.4700 0.1938  2 B 1.68-1.74
B16 0.5000 0.5300 0.8062  2 B 1.68-1.74
Rh1 0.0000 0.6396 0.0972  10 B 2.21-2.38
Rh2 0.0000 0.3604 0.9028  10 B 2.21-2.38
Rh3 0.0000 0.1396 0.4028  10 B 2.21-2.38
Rh4 0.0000 0.8604 0.5972  10 B 2.21-2.38

Properties
Density of states at the Fermi level (states/eV per atom): 0.352
Volume (Å³/atom): 9.54
Energy relative to the elements (eV/f.u.): -3.192
Uncorrected energy (hartree per atom): -0.2891

Here is a relaxed structure of Be4CdTe from Alexandria via LeMat-Bulk. Energies are from PBE-GGA.

Cell lengths 4.9313, 4.9313, 4.9313 Å; angles 60.00, 60.00, 60.00 degrees
With the nearest neighbours (Å) after each atom.
Fractional coordinates of all 6 atoms:
Be1 0.8685 0.3772 0.3772  6 Be 2.42-2.51
Be2 0.3772 0.3772 0.8685  6 Be 2.42-2.51
Be3 0.3772 0.8685 0.3772  6 Be 2.42-2.51
Be4 0.3772 0.3772 0.3772  6 Be 2.42-2.51
Cd1 0.7500 0.7500 0.7500  12 Be 2.89, 4 Te 3.02
Te1 0.0000 0.0000 0.0000  12 Be 2.90, 4 Cd 3.02

Properties
ΔE_f (raw) (eV/atom): 0.612
Density of states at the Fermi level (states/eV per atom): 0.520
Volume (Å³/atom): 14.13
Uncorrected energy (hartree per atom): -0.0936

Here is a relaxed structure of Cs2LaZn4 from Alexandria via LeMat-Bulk. Energies are from PBE-GGA.

Cell lengths 5.9634, 5.9634, 10.5047 Å; angles 73.51, 73.51, 90.00 degrees
With the nearest neighbours (Å) after each atom.
Fractional coordinates of all 7 atoms:
Cs1 0.6343 0.6343 0.7315  9 Zn 3.95-4.24
Cs2 0.3657 0.3657 0.2685  9 Zn 3.95-4.24
Zn1 0.8426 0.8426 0.3147  1 La 3.03
Zn2 0.1574 0.1574 0.6853  1 La 3.03
Zn3 0.0000 0.5000 0.0000  2 La 2.98
Zn4 0.5000 0.0000 0.0000  2 La 2.98
La1 0.0000 0.0000 0.0000  6 Zn 2.98-3.03

Properties
Density of states at the Fermi level (states/eV per atom): 0.849
Volume (Å³/atom): 48.88
Energy relative to the elements (eV/f.u.): 2.393
Uncorrected energy (hartree per atom): -0.0490

Here is a relaxed structure of NpPa4As5 from Alexandria via LeMat-Bulk. Energies are from PBE-GGA.

Cell lengths 5.7890, 7.0972, 7.0972 Å; angles 80.43, 65.93, 65.93 degrees
With the nearest neighbours (Å) after each atom.
Fractional coordinates of all 10 atoms:
Np1 0.0010 0.0000 0.0000  6 As 2.89-2.90
Pa1 0.4006 0.4000 0.8009  6 As 2.89-2.90
Pa2 0.8006 0.8009 0.6000  6 As 2.89-2.90
Pa3 0.2015 0.1991 0.4000  6 As 2.89-2.90
Pa4 0.6015 0.6000 0.1991  6 As 2.89-2.90
As1 0.9012 0.4006 0.7991  5 Pa 2.89-2.90, 1 Np 2.90
As2 0.3018 0.7991 0.5994  5 Pa 2.89-2.90, 1 Np 2.90
As3 0.7003 0.2009 0.4006  5 Pa 2.89-2.90, 1 Np 2.90
As4 0.1009 0.5994 0.2009  5 Pa 2.89-2.90, 1 Np 2.90
As5 0.5010 0.0000 0.0000  2 Np 2.89, 4 Pa 2.90

Properties
Density of states at the Fermi level (states/eV per atom): 1.810
Volume (Å³/atom): 24.31
Energy relative to the elements (eV/f.u.): -9.891
Uncorrected energy (hartree per atom): -0.3089

Here is a relaxed structure of Ca4SmHg5 from Alexandria via LeMat-Bulk. Energies are from PBE-GGA.

Cell lengths 3.7950, 3.7950, 18.9197 Å; angles 90.00, 90.00, 90.00 degrees
With the nearest neighbours (Å) after each atom.
Fractional coordinates of all 10 atoms:
Ca1 0.0000 0.0000 0.2000  8 Hg 3.29-3.30
Ca2 0.0000 0.0000 0.3996  8 Hg 3.28-3.29
Ca3 0.0000 0.0000 0.6004  8 Hg 3.28-3.29
Ca4 0.0000 0.0000 0.8000  8 Hg 3.29-3.30
Sm1 0.0000 0.0000 0.0000  8 Hg 3.27
Hg1 0.5000 0.5000 0.0983  4 Sm 3.27, 4 Ca 3.30
Hg2 0.5000 0.5000 0.3002  8 Ca 3.28-3.29
Hg3 0.5000 0.5000 0.5000  8 Ca 3.29
Hg4 0.5000 0.5000 0.6998  8 Ca 3.28-3.29
Hg5 0.5000 0.5000 0.9017  4 Sm 3.27, 4 Ca 3.30

Properties
Density of states at the Fermi level (states/eV per atom): 0.781
Volume (Å³/atom): 27.25
Energy relative to the elements (eV/f.u.): -5.394
Uncorrected energy (hartree per atom): -0.0721

Here is a relaxed structure of ZnRe2Ru from Alexandria via LeMat-Bulk. Energies are from PBE-GGA.

Cell lengths 5.1326, 5.1326, 5.1326 Å; angles 146.34, 129.00, 62.51 degrees
With the nearest neighbours (Å) after each atom.
Fractional coordinates of all 4 atoms:
Re1 0.0013 0.0013 0.0000  2 Re 2.64, 2 Zn 2.65, 4 Ru 2.66
Re2 0.7530 0.2530 0.5000  2 Re 2.64, 4 Zn 2.66, 2 Ru 2.71
Ru1 0.4945 0.4945 0.0000  2 Zn 2.60, 6 Re 2.66-2.71
Zn1 0.2513 0.7513 0.5000  2 Ru 2.60, 6 Re 2.65-2.66

Properties
Density of states at the Fermi level (states/eV per atom): 0.867
Volume (Å³/atom): 14.41
Energy relative to the elements (eV/f.u.): 1.035
Uncorrected energy (hartree per atom): -0.3161

Here is a relaxed structure of CaMg3Ge from Alexandria via LeMat-Bulk. Energies are from PBE-GGA.

Cell lengths 5.7601, 5.7601, 5.7601 Å; angles 90.00, 90.00, 90.00 degrees
With the nearest neighbours (Å) after each atom.
Fractional coordinates of all 5 atoms:
Mg1 0.0000 0.5000 0.0000  2 Ca 2.88
Mg2 0.0000 0.0000 0.5000  2 Ca 2.88
Mg3 0.5000 0.0000 0.0000  2 Ca 2.88
Ge1 0.5000 0.5000 0.5000  12 Mg 4.07
Ca1 0.0000 0.0000 0.0000  6 Mg 2.88

Properties
Density of states at the Fermi level (states/eV per atom): 1.030
Volume (Å³/atom): 38.22
Energy relative to the elements (eV/f.u.): 5.675
Uncorrected energy (hartree per atom): -0.0421
Energy relative to the lowest polymorph listed for this composition (meV/atom): 1070

Here is a relaxed structure of Ti6Sn5 from Alexandria via LeMat-Bulk. Energies are from PBE-GGA.

Cell lengths 9.8657, 9.8657, 9.8657 Å; angles 146.26, 124.79, 66.29 degrees
With the nearest neighbours (Å) after each atom.
Fractional coordinates of all 22 atoms:
Ti1 0.1580 0.1580 0.0000  7 Sn 2.85-2.98, 4 Ti 3.10
Ti2 0.6835 0.4142 0.2693  6 Sn 2.82-2.97, 5 Ti 2.84-3.14
Ti3 0.8552 0.5858 0.2693  6 Sn 2.82-2.97, 5 Ti 2.84-3.14
Ti4 0.8420 0.8420 0.0000  7 Sn 2.85-2.98, 4 Ti 3.10
Ti5 0.5000 0.2662 0.7662  1 Ti 2.68, 4 Sn 2.89
Ti6 0.0000 0.5000 0.0000  6 Sn 2.79-3.01, 6 Ti 2.86-3.10
Ti7 0.5000 0.7338 0.2338  1 Ti 2.68, 4 Sn 2.89
Ti8 0.3165 0.5858 0.7307  6 Sn 2.82-2.97, 5 Ti 2.84-3.14
Ti9 0.1448 0.4142 0.7307  6 Sn 2.82-2.97, 5 Ti 2.84-3.14
Ti10 0.5000 0.5000 0.5000  6 Sn 2.79-3.01, 6 Ti 2.86-3.10
Ti11 0.5000 0.0000 0.0000  6 Sn 2.79-3.01, 6 Ti 2.86-3.10
Ti12 0.0000 0.0000 0.5000  6 Sn 2.79-3.01, 6 Ti 2.86-3.10
Sn1 0.4134 0.1045 0.3089  7 Ti 2.85-2.97
Sn2 0.7926 0.2926 0.5000  8 Ti 2.79-2.98
Sn3 0.3305 0.3305 0.0000  9 Ti 2.82-3.10
Sn4 0.7956 0.1045 0.6911  7 Ti 2.85-2.97
Sn5 0.2074 0.7074 0.5000  8 Ti 2.79-2.98
Sn6 0.0000 0.2459 0.2459  2 Sn 2.82-2.91, 6 Ti 2.93-2.97
Sn7 0.6695 0.6695 0.0000  9 Ti 2.82-3.10
Sn8 0.5866 0.8955 0.6911  7 Ti 2.85-2.97
Sn9 0.2044 0.8955 0.3089  7 Ti 2.85-2.97
Sn10 0.0000 0.7541 0.7541  2 Sn 2.82-2.91, 6 Ti 2.93-2.97

Properties
Density of states at the Fermi level (states/eV per atom): 1.152
Volume (Å³/atom): 19.66
Energy relative to the elements (eV/f.u.): -3.829
Uncorrected energy (hartree per atom): -0.2379
Energy relative to the lowest polymorph listed for this composition (meV/atom): 25

Here is a relaxed structure of Sn3Sb2Au8 from Alexandria via LeMat-Bulk. Energies are from PBE-GGA.

Cell lengths 5.4269, 5.4269, 12.9560 Å; angles 77.91, 77.91, 60.00 degrees
With the nearest neighbours (Å) after each atom.
Fractional coordinates of all 13 atoms:
Sn1 0.0000 0.0000 0.0000  6 Au 3.38, 6 Sb 3.48
Sn2 0.7716 0.7716 0.6853  7 Au 2.69-2.89
Sn3 0.2284 0.2284 0.3147  7 Au 2.69-2.89
Sb1 0.6266 0.6266 0.1201  1 Au 2.78
Sb2 0.3734 0.3734 0.8799  1 Au 2.78
Au1 0.7003 0.7003 0.8990  1 Sn 2.69, 1 Sb 2.78
Au2 0.2997 0.2997 0.1010  1 Sn 2.69, 1 Sb 2.78
Au3 0.2013 0.7029 0.3928  4 Au 2.70-2.72, 2 Sn 2.89
Au4 0.7029 0.2013 0.3928  4 Au 2.70-2.72, 2 Sn 2.89
Au5 0.7029 0.7029 0.3928  4 Au 2.70-2.72, 2 Sn 2.89
Au6 0.2971 0.7987 0.6072  4 Au 2.70-2.72, 2 Sn 2.89
Au7 0.7987 0.2971 0.6072  4 Au 2.70-2.72, 2 Sn 2.89
Au8 0.2971 0.2971 0.6072  4 Au 2.70-2.72, 2 Sn 2.89

Properties
ΔE_f (raw) (eV/atom): 0.046
Density of states at the Fermi level (states/eV per atom): 0.408
Volume (Å³/atom): 24.66
Uncorrected energy (hartree per atom): -0.1297

Here is a relaxed structure of CaFeSn3 from Alexandria via LeMat-Bulk. Energies are from PBE-GGA.

Cell lengths 5.5744, 5.5744, 5.5744 Å; angles 90.00, 90.00, 90.00 degrees
With the nearest neighbours (Å) after each atom.
Fractional coordinates of all 5 atoms:
Ca1 0.0000 0.0000 0.0000  6 Sn 2.79
Sn1 0.0000 0.5000 0.0000  2 Ca 2.79
Sn2 0.0000 0.0000 0.5000  2 Ca 2.79
Sn3 0.5000 0.0000 0.0000  2 Ca 2.79
Fe1 0.5000 0.5000 0.5000  12 Sn 3.94

Properties
Density of states at the Fermi level (states/eV per atom): 1.333
Volume (Å³/atom): 34.64
Energy relative to the elements (eV/f.u.): 6.448
Uncorrected energy (hartree per atom): -0.1178
Energy relative to the lowest polymorph listed for this composition (meV/atom): 1284

Here is a relaxed structure of CePa2CuN5 from Alexandria via LeMat-Bulk. Energies are from PBE-GGA.

Cell lengths 6.5254, 6.5254, 7.2020 Å; angles 116.94, 116.94, 90.00 degrees
With the nearest neighbours (Å) after each atom.
Fractional coordinates of all 18 atoms:
Ce1 0.2500 0.2500 0.5000  10 N 2.76
Ce2 0.7500 0.7500 0.5000  10 N 2.76
Pa1 0.1669 0.3331 0.0000  2 N 2.16
Pa2 0.6669 0.1669 0.0000  2 N 2.16
Pa3 0.3331 0.8331 0.0000  2 N 2.16
Pa4 0.8331 0.6669 0.0000  2 N 2.16
Cu1 0.2500 0.7500 0.5000  4 N 1.98
Cu2 0.7500 0.2500 0.5000  4 N 1.98
N1 0.9711 0.4711 0.2672  1 Cu 1.98, 1 Pa 2.16
N2 0.7039 0.2039 0.7328  1 Cu 1.98, 1 Pa 2.16
N3 0.0289 0.5289 0.7328  1 Cu 1.98, 1 Pa 2.16
N4 0.2039 0.0289 0.7328  1 Cu 1.98, 1 Pa 2.16
N5 0.5289 0.7039 0.7328  1 Cu 1.98, 1 Pa 2.16
N6 0.7961 0.9711 0.2672  1 Cu 1.98, 1 Pa 2.16
N7 0.4711 0.2961 0.2672  1 Cu 1.98, 1 Pa 2.16
N8 0.2961 0.7961 0.2672  1 Cu 1.98, 1 Pa 2.16
N9 0.5000 0.5000 0.0000  4 Pa 2.43
N10 0.0000 0.0000 0.0000  4 Pa 2.43

Properties
ΔE_f (raw) (eV/atom): -1.169
Density of states at the Fermi level (states/eV per atom): 0.058
Volume (Å³/atom): 13.08
Uncorrected energy (hartree per atom): -0.3314

Here is a relaxed structure of Ta2AgRhBr from Alexandria via LeMat-Bulk. Energies are from PBE-GGA.

Cell lengths 4.6728, 4.7865, 4.6728 Å; angles 90.00, 90.00, 90.00 degrees
With the nearest neighbours (Å) after each atom.
Fractional coordinates of all 5 atoms:
Rh1 0.5000 0.5000 0.5000  4 Ag 3.30, 8 Ta 3.34
Br1 0.0000 0.0000 0.0000  4 Ta 2.34, 2 Ag 2.39
Ag1 0.0000 0.5000 0.0000  2 Br 2.39
Ta1 0.0000 0.0000 0.5000  2 Br 2.34
Ta2 0.5000 0.0000 0.0000  2 Br 2.34

Properties
ΔE_f (raw) (eV/atom): 1.598
Density of states at the Fermi level (states/eV per atom): 1.272
Volume (Å³/atom): 20.90
Uncorrected energy (hartree per atom): -0.2028